1.
Computed, not measured: a geometry-optimized NaHo2Co structure at the PBE level of DFT.

Lattice parameters (Å, degrees): 3.336 3.336 9.462 90.00 90.00 90.00
Space group P4/mmm (No. 123)
Asymmetric unit:
Na (0.000, 0.000, 0.000) [1 per cell]
Ho (0.500, 0.500, 0.331) [2 per cell]
Co (0.000, 0.000, 0.500) [1 per cell]

## Properties
E_form in eV/atom: -0.04
DOS(E_F) in states/eV/atom: 0.8628

2.
Computed, not measured: a geometry-optimized NaHo3Co structure at the PBE level of DFT.

Lattice parameters (Å, degrees): 5.266 5.266 5.266 90.00 90.00 90.00
Space group Pm-3m (No. 221)
Asymmetric unit:
Na (0.000, 0.000, 0.000) [1 per cell]
Ho (0.000, 0.500, 0.500) [3 per cell]
Co (0.500, 0.500, 0.500) [1 per cell]

## Properties
E_form in eV/atom: 0.01
DOS(E_F) in states/eV/atom: 0.4219

Which of these has the highest E_form? NaHo3Co

Copy entry 1 word for word.
Computed, not measured: a geometry-optimized NaHo2Co structure at the PBE level of DFT.

Lattice parameters (Å, degrees): 3.336 3.336 9.462 90.00 90.00 90.00
Space group P4/mmm (No. 123)
Asymmetric unit:
Na (0.000, 0.000, 0.000) [1 per cell]
Ho (0.500, 0.500, 0.331) [2 per cell]
Co (0.000, 0.000, 0.500) [1 per cell]

## Properties
E_form in eV/atom: -0.04
DOS(E_F) in states/eV/atom: 0.8628

Copy entry 1 word for word.
Computed, not measured: a geometry-optimized NaHo2Co structure at the PBE level of DFT.

Lattice parameters (Å, degrees): 3.336 3.336 9.462 90.00 90.00 90.00
Space group P4/mmm (No. 123)
Asymmetric unit:
Na (0.000, 0.000, 0.000) [1 per cell]
Ho (0.500, 0.500, 0.331) [2 per cell]
Co (0.000, 0.000, 0.500) [1 per cell]

## Properties
E_form in eV/atom: -0.04
DOS(E_F) in states/eV/atom: 0.8628